Nb3VMo8 | the Alexandria database | PBE | relaxed; DOS at the Fermi energy = 5.77 states/eV/f.u.; DFT total energy = -127.4 eV per cell; calculated volume = 16.22 A^3/atom
1.0
6.699 -1.263 -1.430
-5.067 4.659 -1.051
1.331 1.250 6.697
Mo Nb V
8 3 1
Cartesian
0.298 1.177 2.492
4.281 -0.083 -0.717
2.025 1.413 -0.152
2.393 2.903 2.137
0.195 4.367 2.695
-1.590 4.163 5.346
-2.571 4.371 0.883
0.666 2.667 4.781
-0.245 2.877 0.363
2.936 1.202 4.266
4.695 1.408 1.600
1.496 3.112 -2.274